(1)
KZr2Ag | PBE | optimized geometry

As for the mass density: 5.4 g/cm³. For the total energy, the calculation gives -4.71 eV/atom. Its volume is 25.2 Å³ per atom. As for the formation energy: 213.7 kJ/mol of formula units.

The space group is P2/m (No. 10) and the conventional cell measures 3.016, 5.864 and 5.703 Å, with angles of 90.00, 92.21 and 90.00 degrees. The distinct sites, in fractional coordinates, are K at (0.000, 0.000, 0.000), Zr at (0.256, 0.500, 0.717) and Ag at (0.500, 0.000, 0.500).



(2)
LaAg | PBE | optimized geometry

As for the mass density: 7.1 g/cm³. For the total energy, the calculation gives -4.01 eV/atom. Its volume is 29.0 Å³ per atom. As for the formation energy: -24.1 kJ/mol of formula units.

The space group is P2_13 (No. 198) and the conventional cell measures 6.148, 6.148 and 6.148 Å, with angles of 90.00, 90.00 and 90.00 degrees. The distinct sites, in fractional coordinates, are La at (0.072, 0.072, 0.072) and Ag at (0.087, 0.587, 0.913).



(3)
LaAg | PBE | optimized geometry

As for the mass density: 7.3 g/cm³. For the total energy, the calculation gives -4.15 eV/atom. Its volume is 28.0 Å³ per atom. As for the formation energy: -50.2 kJ/mol of formula units.

The space group is Pm-3m (No. 221) and the conventional cell measures 3.824, 3.824 and 3.824 Å, with angles of 90.00, 90.00 and 90.00 degrees. The distinct sites, in fractional coordinates, are La at (0.000, 0.000, 0.000) and Ag at (0.500, 0.500, 0.500).



(4)
LaAg3 | PBE | optimized geometry

As for the mass density: 8.8 g/cm³. For the total energy, the calculation gives -3.28 eV/atom. Its volume is 21.8 Å³ per atom. As for the formation energy: 34.8 kJ/mol of formula units.

The space group is P-6m2 (No. 187) and the conventional cell measures 3.1544, 3.1544 and 10.1415 Å, with angles of 90.00, 90.00 and 120.00 degrees. The distinct sites, in fractional coordinates, are La at (0.0000, 0.0000, 0.0000), Ag at (0.0000, 0.0000, 0.5000) and Ag at (0.6667, 0.3333, 0.2743).



(5)
La3Ag5 | PBE | optimized geometry

As for the mass density: 7.7 g/cm³. For the total energy, the calculation gives -3.82 eV/atom. Its volume is 25.8 Å³ per atom. As for the formation energy: -145.8 kJ/mol of formula units.

The space group is Cm (No. 8) and the conventional cell measures 6.116, 16.732 and 8.323 Å, with angles of 90.00, 103.79 and 90.00 degrees. The distinct sites, in fractional coordinates, are La at (0.000, 0.000, 0.000), La at (0.097, 0.500, 0.606), La at (0.295, 0.275, 0.799), La at (0.297, 0.337, 0.301), Ag at (0.007, 0.409, 0.929), Ag at (0.012, 0.500, 0.225), Ag at (0.083, 0.000, 0.381), Ag at (0.090, 0.091, 0.677), Ag at (0.230, 0.166, 0.120) and Ag at (0.361, 0.164, 0.478).



(6)
La4Ag3 | PBE | optimized geometry

As for the mass density: 7.4 g/cm³. For the total energy, the calculation gives -4.14 eV/atom. Its volume is 28.0 Å³ per atom. As for the formation energy: -72.3 kJ/mol of formula units.

The space group is P6/mmm (No. 191) and the conventional cell measures 5.9479, 5.9479 and 6.3973 Å, with angles of 90.00, 90.00 and 120.00 degrees. The distinct sites, in fractional coordinates, are La at (0.0000, 0.0000, 0.2483), La at (0.3333, 0.6667, 0.5000) and Ag at (0.0000, 0.5000, 0.0000).



(7)
La4Ag3 | PBE | optimized geometry

As for the mass density: 6.8 g/cm³. For the total energy, the calculation gives -4.16 eV/atom. Its volume is 30.7 Å³ per atom. As for the formation energy: -80.0 kJ/mol of formula units.

The space group is R-3m (No. 166, hexagonal axes) and the conventional cell measures 5.3609, 5.3609 and 25.9346 Å, with angles of 90.00, 90.00 and 120.00 degrees. The distinct sites, in fractional coordinates, are La at (0.0000, 0.0000, 0.1218), La at (0.0000, 0.0000, 0.3730), Ag at (0.0000, 0.0000, 0.2492) and Ag at (0.0000, 0.0000, 0.5000).



(8)
La4Ag3 | PBE | optimized geometry

As for the mass density: 7.3 g/cm³. For the total energy, the calculation gives -4.18 eV/atom. Its volume is 28.6 Å³ per atom. As for the formation energy: -98.0 kJ/mol of formula units.

The space group is I4/mmm (No. 139) and the conventional cell measures 3.904, 3.904 and 26.307 Å, with angles of 90.00, 90.00 and 90.00 degrees. The distinct sites, in fractional coordinates, are La at (0.000, 0.000, 0.069), La at (0.000, 0.000, 0.342), Ag at (0.000, 0.000, 0.221) and Ag at (0.000, 0.000, 0.500).



(9)
La7Ag | PBE | optimized geometry

As for the mass density: 6.7 g/cm³. For the total energy, the calculation gives -4.66 eV/atom. Its volume is 33.7 Å³ per atom. As for the formation energy: 2.8 kJ/mol of formula units.

The space group is Fm-3m (No. 225) and the conventional cell measures 10.250, 10.250 and 10.250 Å, with angles of 90.00, 90.00 and 90.00 degrees. The distinct sites, in fractional coordinates, are La at (0.000, 0.000, 0.000), La at (0.000, 0.250, 0.250) and Ag at (0.000, 0.000, 0.500).



(10)
LaAg6 | PBE | optimized geometry

As for the mass density: 5.0 g/cm³. For the total energy, the calculation gives -2.33 eV/atom. Its volume is 37.2 Å³ per atom. As for the formation energy: 554.3 kJ/mol of formula units.

The space group is Pm-3m (No. 221) and the conventional cell measures 6.383, 6.383 and 6.383 Å, with angles of 90.00, 90.00 and 90.00 degrees. The distinct sites, in fractional coordinates, are La at (0.000, 0.000, 0.000) and Ag at (0.198, 0.500, 0.500).



(11)
LaAg | PBE | optimized geometry

As for the mass density: 7.6 g/cm³. For the total energy, the calculation gives -3.81 eV/atom. Its volume is 27.1 Å³ per atom. As for the formation energy: 14.5 kJ/mol of formula units.

The space group is P6_3/mmc (No. 194) and the conventional cell measures 5.3715, 5.3715 and 8.6626 Å, with angles of 90.00, 90.00 and 120.00 degrees. The distinct sites, in fractional coordinates, are La at (0.0000, 0.0000, 0.2500), La at (0.3333, 0.6667, 0.2500) and Ag at (0.3333, 0.6667, 0.5891).



(12)
LaAg | PBE | optimized geometry

As for the mass density: 7.3 g/cm³. For the total energy, the calculation gives -4.03 eV/atom. Its volume is 28.0 Å³ per atom. As for the formation energy: -27.0 kJ/mol of formula units.

The space group is P4/nmm (No. 129, origin choice 2) and the conventional cell measures 3.870, 3.870 and 7.490 Å, with angles of 90.00, 90.00 and 90.00 degrees. The distinct sites, in fractional coordinates, are La at (0.250, 0.250, 0.170) and Ag at (0.250, 0.250, 0.598).



(13)
LaAg3 | PBE | optimized geometry

As for the mass density: 8.4 g/cm³. For the total energy, the calculation gives -3.50 eV/atom. Its volume is 22.8 Å³ per atom. As for the formation energy: -48.9 kJ/mol of formula units.

The space group is P4/mmm (No. 123) and the conventional cell measures 3.628, 3.628 and 6.936 Å, with angles of 90.00, 90.00 and 90.00 degrees. The distinct sites, in fractional coordinates, are La at (0.000, 0.000, 0.000), Ag at (0.000, 0.000, 0.500) and Ag at (0.500, 0.500, 0.294).



(14)
LaAg | PBE | optimized geometry

As for the mass density: 4.0 g/cm³. For the total energy, the calculation gives -3.32 eV/atom. Its volume is 51.4 Å³ per atom. As for the formation energy: 110.0 kJ/mol of formula units.

The space group is Pm-3n (No. 223) and the conventional cell measures 8.512, 8.512 and 8.512 Å, with angles of 90.00, 90.00 and 90.00 degrees. The distinct sites, in fractional coordinates, are La at (0.000, 0.250, 0.500) and Ag at (0.000, 0.500, 0.250).